one | Material: CdAg3Pd
Method: DFT, PBE
State: optimized geometry

CIF file:
```
data_CdAg3Pd
_cell_length_a 4.3193
_cell_length_b 5.7670
_cell_length_c 7.5786
_cell_angle_alpha 90.00
_cell_angle_beta 106.21
_cell_angle_gamma 90.00
_space_group_name_H-M_alt 'P 1'
_space_group_IT_number 1
loop_
_space_group_symop_operation_xyz
'x,y,z'
loop_
_atom_site_label
_atom_site_fract_x
_atom_site_fract_y
_atom_site_fract_z
Cd1 0.1922 0.2500 0.3826
Cd2 0.8078 0.7500 0.6174
Ag1 0.1895 0.7500 0.3784
Ag2 0.4010 0.0016 0.8042
Ag3 0.4010 0.4984 0.8042
Ag4 0.5990 0.5016 0.1958
Ag5 0.5990 0.9984 0.1958
Ag6 0.8105 0.2500 0.6216
Pd1 0.0018 0.2500 0.0035
Pd2 0.9982 0.7500 0.9965
```

Summary:
volume	18.13	Å³/atom
total magnetization	0.000	μB/atom



two | Material: CdAg3Pd
Method: DFT, PBE
State: optimized geometry

CIF file:
```
data_CdAg3Pd
_cell_length_a 5.0688
_cell_length_b 5.0688
_cell_length_c 5.0688
_cell_angle_alpha 90.00
_cell_angle_beta 90.00
_cell_angle_gamma 90.00
_space_group_name_H-M_alt 'P 1'
_space_group_IT_number 1
loop_
_space_group_symop_operation_xyz
'x,y,z'
loop_
_atom_site_label
_atom_site_fract_x
_atom_site_fract_y
_atom_site_fract_z
Cd1 0.0000 0.0000 0.0000
Ag1 0.0000 0.5000 0.5000
Ag2 0.5000 0.0000 0.5000
Ag3 0.5000 0.5000 0.0000
Pd1 0.5000 0.5000 0.5000
```

Summary:
volume	26.05	Å³/atom
total magnetization	0.000	μB/atom



three | Material: CdAg3Pd
Method: DFT, PBE
State: optimized geometry

CIF file:
```
data_CdAg3Pd
_cell_length_a 2.9846
_cell_length_b 12.3553
_cell_length_c 12.3553
_cell_angle_alpha 157.02
_cell_angle_beta 90.00
_cell_angle_gamma 90.00
_space_group_name_H-M_alt 'P 1'
_space_group_IT_number 1
loop_
_space_group_symop_operation_xyz
'x,y,z'
loop_
_atom_site_label
_atom_site_fract_x
_atom_site_fract_y
_atom_site_fract_z
Cd1 0.2500 0.1506 0.8494
Cd2 0.7500 0.8494 0.1506
Ag1 0.2500 0.4014 0.2996
Ag2 0.2500 0.7956 0.8964
Ag3 0.2500 0.9018 0.4047
Ag4 0.7500 0.2996 0.4014
Ag5 0.7500 0.4047 0.9018
Ag6 0.7500 0.8964 0.7956
Pd1 0.2500 0.3481 0.6480
Pd2 0.7500 0.6480 0.3481
```

Summary:
volume	17.79	Å³/atom
total magnetization	0.000	μB/atom



Stability, lowest: two



one | Material: Cd2Ag3Pd7
Method: DFT, PBE
State: optimized geometry

CIF file:
```
data_Cd2Ag3Pd7
_cell_length_a 4.6328
_cell_length_b 2.8735
_cell_length_c 15.8420
_cell_angle_alpha 90.00
_cell_angle_beta 93.48
_cell_angle_gamma 90.00
_space_group_name_H-M_alt 'P 1'
_space_group_IT_number 1
loop_
_space_group_symop_operation_xyz
'x,y,z'
loop_
_atom_site_label
_atom_site_fract_x
_atom_site_fract_y
_atom_site_fract_z
Cd1 0.2042 0.0000 0.2883
Cd2 0.7958 0.0000 0.7117
Ag1 0.0000 0.0000 0.0000
Ag2 0.2746 0.5000 0.6175
Ag3 0.7254 0.5000 0.3825
Pd1 0.1833 0.5000 0.1437
Pd2 0.2410 0.0000 0.4561
Pd3 0.3152 0.0000 0.8417
Pd4 0.5000 0.5000 0.0000
Pd5 0.6848 0.0000 0.1583
Pd6 0.7590 0.0000 0.5439
Pd7 0.8167 0.5000 0.8563
```

Summary:
volume	17.54	Å³/atom
total magnetization	0.000	μB/atom



two | Material: Cd2Ag3Pd7
Method: DFT, PBE
State: optimized geometry

CIF file:
```
data_Cd2Ag3Pd7
_cell_length_a 5.2004
_cell_length_b 2.8248
_cell_length_c 13.8785
_cell_angle_alpha 90.00
_cell_angle_beta 96.40
_cell_angle_gamma 90.00
_space_group_name_H-M_alt 'P 1'
_space_group_IT_number 1
loop_
_space_group_symop_operation_xyz
'x,y,z'
loop_
_atom_site_label
_atom_site_fract_x
_atom_site_fract_y
_atom_site_fract_z
Cd1 0.0496 0.0000 0.1760
Cd2 0.9504 0.0000 0.8240
Ag1 0.4532 0.5000 0.8380
Ag2 0.5000 0.0000 0.5000
Ag3 0.5468 0.5000 0.1620
Pd1 0.0000 0.5000 0.5000
Pd2 0.2267 0.0000 0.6645
Pd3 0.2518 0.0000 0.0006
Pd4 0.2771 0.5000 0.3357
Pd5 0.7229 0.5000 0.6643
Pd6 0.7482 0.0000 0.9994
Pd7 0.7733 0.0000 0.3355
```

Summary:
volume	16.88	Å³/atom
total magnetization	0.000	μB/atom



Stability, lowest: one



one | Material: Cd2Ag2Pd5
Method: DFT, PBE
State: optimized geometry

CIF file:
```
data_Cd2Ag2Pd5
_cell_length_a 4.6278
_cell_length_b 4.6278
_cell_length_c 8.3088
_cell_angle_alpha 90.40
_cell_angle_beta 90.40
_cell_angle_gamma 119.91
_space_group_name_H-M_alt 'P 1'
_space_group_IT_number 1
loop_
_space_group_symop_operation_xyz
'x,y,z'
loop_
_atom_site_label
_atom_site_fract_x
_atom_site_fract_y
_atom_site_fract_z
Cd1 0.0000 0.0000 0.0000
Cd2 0.6676 0.3324 0.5000
Ag1 0.3340 0.6653 0.3267
Ag2 0.3347 0.6660 0.6733
Pd1 0.0006 0.9988 0.3326
Pd2 0.0012 0.9994 0.6674
Pd3 0.3337 0.6663 0.0000
Pd4 0.6666 0.3326 0.1670
Pd5 0.6674 0.3334 0.8330
```

Summary:
volume	17.14	Å³/atom
total magnetization	0.000	μB/atom



two | Material: Cd2Ag2Pd5
Method: DFT, PBE
State: optimized geometry

CIF file:
```
data_Cd2Ag2Pd5
_cell_length_a 6.4630
_cell_length_b 6.4630
_cell_length_c 6.4051
_cell_angle_alpha 107.80
_cell_angle_beta 107.80
_cell_angle_gamma 36.60
_space_group_name_H-M_alt 'P 1'
_space_group_IT_number 1
loop_
_space_group_symop_operation_xyz
'x,y,z'
loop_
_atom_site_label
_atom_site_fract_x
_atom_site_fract_y
_atom_site_fract_z
Cd1 0.0522 0.0522 0.3222
Cd2 0.9478 0.9478 0.6778
Ag1 0.2759 0.2759 0.6714
Ag2 0.7241 0.7241 0.3286
Pd1 0.1692 0.1692 0.0010
Pd2 0.3888 0.3888 0.3324
Pd3 0.5000 0.5000 0.0000
Pd4 0.6112 0.6112 0.6676
Pd5 0.8308 0.8308 0.9990
```

Summary:
volume	16.78	Å³/atom
total magnetization	0.000	μB/atom



Stability, lowest: one



one | Material: Cd2AgPd2
Method: DFT, PBE
State: optimized geometry

CIF file:
```
data_Cd2AgPd2
_cell_length_a 6.8868
_cell_length_b 6.8868
_cell_length_c 6.8868
_cell_angle_alpha 145.90
_cell_angle_beta 145.90
_cell_angle_gamma 49.00
_space_group_name_H-M_alt 'P 1'
_space_group_IT_number 1
loop_
_space_group_symop_operation_xyz
'x,y,z'
loop_
_atom_site_label
_atom_site_fract_x
_atom_site_fract_y
_atom_site_fract_z
Cd1 0.2500 0.7500 0.5000
Cd2 0.7500 0.2500 0.5000
Ag1 0.0000 0.0000 0.0000
Pd1 0.3975 0.3975 0.0000
Pd2 0.6025 0.6025 0.0000
```

Summary:
volume	20.44	Å³/atom
total magnetization	0.000	μB/atom



two | Material: Cd2AgPd2
Method: DFT, PBE
State: optimized geometry

CIF file:
```
data_Cd2AgPd2
_cell_length_a 4.1393
_cell_length_b 5.0312
_cell_length_c 5.0740
_cell_angle_alpha 80.90
_cell_angle_beta 65.99
_cell_angle_gamma 66.01
_space_group_name_H-M_alt 'P 1'
_space_group_IT_number 1
loop_
_space_group_symop_operation_xyz
'x,y,z'
loop_
_atom_site_label
_atom_site_fract_x
_atom_site_fract_y
_atom_site_fract_z
Cd1 0.2033 0.3833 0.2109
Cd2 0.7967 0.6167 0.7891
Ag1 0.0000 0.0000 0.0000
Pd1 0.4084 0.7938 0.3914
Pd2 0.5916 0.2062 0.6086
```

Summary:
volume	17.64	Å³/atom
total magnetization	0.000	μB/atom



Stability, lowest: one



one | Material: Cd2AgPd2
Method: DFT, PBE
State: optimized geometry

CIF file:
```
data_Cd2AgPd2
_cell_length_a 7.5419
_cell_length_b 7.5419
_cell_length_c 5.7198
_cell_angle_alpha 90.00
_cell_angle_beta 90.00
_cell_angle_gamma 146.52
_space_group_name_H-M_alt 'P 1'
_space_group_IT_number 1
loop_
_space_group_symop_operation_xyz
'x,y,z'
loop_
_atom_site_label
_atom_site_fract_x
_atom_site_fract_y
_atom_site_fract_z
Cd1 0.0918 0.9082 0.5000
Cd2 0.3011 0.6989 0.2733
Cd3 0.6989 0.3011 0.7733
Cd4 0.9082 0.0918 0.0000
Ag1 0.1073 0.8927 0.0073
Ag2 0.8927 0.1073 0.5073
Pd1 0.3121 0.6879 0.7759
Pd2 0.4948 0.5052 0.2459
Pd3 0.5052 0.4948 0.7459
Pd4 0.6879 0.3121 0.2759
```

Summary:
volume	17.95	Å³/atom
total magnetization	0.000	μB/atom



two | Material: Cd2AgPd2
Method: DFT, PBE
State: optimized geometry

CIF file:
```
data_Cd2AgPd2
_cell_length_a 7.7754
_cell_length_b 7.7754
_cell_length_c 3.0744
_cell_angle_alpha 90.00
_cell_angle_beta 90.00
_cell_angle_gamma 90.00
_space_group_name_H-M_alt 'P 1'
_space_group_IT_number 1
loop_
_space_group_symop_operation_xyz
'x,y,z'
loop_
_atom_site_label
_atom_site_fract_x
_atom_site_fract_y
_atom_site_fract_z
Cd1 0.1662 0.3338 0.0000
Cd2 0.3338 0.8338 0.0000
Cd3 0.6662 0.1662 0.0000
Cd4 0.8338 0.6662 0.0000
Ag1 0.0000 0.0000 0.5000
Ag2 0.5000 0.5000 0.5000
Pd1 0.1310 0.6310 0.5000
Pd2 0.3690 0.1310 0.5000
Pd3 0.6310 0.8690 0.5000
Pd4 0.8690 0.3690 0.5000
```

Summary:
volume	18.59	Å³/atom
total magnetization	0.000	μB/atom



Stability, lowest: two